The following is a DFT calculation (PBE) of an optimized crystal structure of Rb2In2Ge3.

## Properties
VASP energy, eV/atom: -3.0411
Formation energy, eV per atom: -0.0033
Magnetization, μB per atom: 0.000

a = 12.702 Å, b = 4.717 Å, c = 7.803 Å
α = 90.00°, β = 120.77°, γ = 90.00°
Space group C2/m (No. 12)
Symmetry-distinct sites (fractional):
1 Rb 0.157 0.000 0.305
2 In 0.153 0.000 0.793
3 Ge 0.000 0.500 0.500
4 Ge 0.080 0.500 0.926

=====

The following is a DFT calculation (PBE) of an optimized crystal structure of RbIn3Ge3.

## Properties
VASP energy, eV/atom: -3.2566
Formation energy, eV per atom: 0.0341
Magnetization, μB per atom: 0.000

a = 7.689 Å, b = 7.689 Å, c = 7.689 Å
α = 90.00°, β = 90.00°, γ = 90.00°
Space group Pm-3n (No. 223)
Symmetry-distinct sites (fractional):
1 Rb 0.000 0.000 0.000
2 In 0.000 0.250 0.500
3 Ge 0.000 0.500 0.250